# 1
First-principles (GGA-PBE) data for a geometry-optimized PuZn6Ga6 structure, as listed in Alexandria via LeMat-Bulk.

DFT total energy = -82.86 eV/cell
Mass density = 7.85 g/cm3
Energy relative to the elements = -99.5 meV per atom
DOS(E_F) = 10.25 states/eV/f.u.
Magnetization = 11.15 μB/cell

```
data_PuZn6Ga6
_cell_length_a 5.4909
_cell_length_b 8.9516
_cell_length_c 9.0806
_cell_angle_alpha 90.00
_cell_angle_beta 90.00
_cell_angle_gamma 90.00
_space_group_name_H-M_alt 'I m m m'
_space_group_IT_number 71
_space_group_name_Hall '-I 2 2'
loop_
_atom_site_label
_atom_site_type_symbol
_atom_site_fract_x
_atom_site_fract_y
_atom_site_fract_z
Pu1 Pu 0.0000 0.0000 0.0000
Zn1 Zn 0.0000 0.2677 0.5000
Zn2 Zn 0.2500 0.2500 0.2500
Ga1 Ga 0.0000 0.0000 0.3473
Ga2 Ga 0.0000 0.3525 0.0000
Ga3 Ga 0.0000 0.5000 0.3189
```

# 2
First-principles (GGA-PBE) data for a geometry-optimized Al2ZnCd2Pt5 structure, as listed in Alexandria via LeMat-Bulk.

DFT total energy = -92.59 eV/cell
Mass density = 13.27 g/cm3
Energy relative to the elements = -550.2 meV per atom
DOS(E_F) = 3.12 states/eV/f.u.
Magnetization = 0.00 μB/cell

```
data_Al2ZnCd2Pt5
_cell_length_a 9.4235
_cell_length_b 9.4235
_cell_length_c 3.7190
_cell_angle_alpha 90.00
_cell_angle_beta 90.00
_cell_angle_gamma 90.00
_space_group_name_H-M_alt 'P 4/m b m'
_space_group_IT_number 127
_space_group_name_Hall '-P 4 2ab'
loop_
_atom_site_label
_atom_site_type_symbol
_atom_site_fract_x
_atom_site_fract_y
_atom_site_fract_z
Al1 Al 0.1284 0.3716 0.0000
Zn1 Zn 0.0000 0.0000 0.0000
Cd1 Cd 0.1716 0.6716 0.0000
Pt1 Pt 0.0000 0.5000 0.5000
Pt2 Pt 0.0753 0.1980 0.5000
```

# 3
First-principles (GGA-PBE) data for a geometry-optimized FeMo2IrN structure, as listed in Alexandria via LeMat-Bulk.

DFT total energy = -48.04 eV/cell
Mass density = 11.83 g/cm3
DOS(E_F) = 5.35 states/eV/f.u.
Energy relative to the elements, uncorrected = -14.0 kJ/mol of atoms
Magnetization = 0.81 μB/cell

```
data_FeMo2IrN
_cell_length_a 4.0873
_cell_length_b 4.0873
_cell_length_c 3.8134
_cell_angle_alpha 90.00
_cell_angle_beta 90.00
_cell_angle_gamma 90.00
_space_group_name_H-M_alt 'P 4/m m m'
_space_group_IT_number 123
_space_group_name_Hall '-P 4 2'
loop_
_atom_site_label
_atom_site_type_symbol
_atom_site_fract_x
_atom_site_fract_y
_atom_site_fract_z
Fe1 Fe 0.0000 0.0000 0.0000
Mo1 Mo 0.0000 0.5000 0.5000
Ir1 Ir 0.5000 0.5000 0.0000
N1 N 0.0000 0.0000 0.5000
```

# 4
First-principles (GGA-PBE) data for a geometry-optimized AgBiTeO6 structure, as listed in Alexandria via LeMat-Bulk.

DFT total energy = -92.29 eV/cell
Mass density = 6.71 g/cm3
DOS(E_F) = 2.86 states/eV/f.u.
Energy relative to the elements, uncorrected = -69.9 kJ/mol of atoms
Magnetization = 0.00 μB/cell

```
data_AgBiTeO6
_cell_length_a 5.5077
_cell_length_b 5.5077
_cell_length_c 10.1849
_cell_angle_alpha 90.00
_cell_angle_beta 90.00
_cell_angle_gamma 120.00
_space_group_name_H-M_alt 'P -3 1 c'
_space_group_IT_number 163
_space_group_name_Hall '-P 3 2c'
loop_
_atom_site_label
_atom_site_type_symbol
_atom_site_fract_x
_atom_site_fract_y
_atom_site_fract_z
Ag1 Ag 0.0000 0.0000 0.0000
Bi1 Bi 0.3333 0.6667 0.2500
Te1 Te 0.3333 0.6667 0.7500
O1 O 0.0265 0.3835 0.6392
```